A plane-wave DFT calculation with GGA-PBE was carried out for a relaxed structure of ThB2Rh5Au.

a b c (Å): 4.207 4.207 7.884
angles (deg): 90.00 90.00 90.00
Element x y z (fractional)
Th: 0.000 0.000 0.000
B: 0.500 0.500 0.285
B: 0.500 0.500 0.715
Rh: 0.000 0.500 0.266
Rh: 0.000 0.500 0.734
Rh: 0.500 0.000 0.266
Rh: 0.500 0.000 0.734
Rh: 0.500 0.500 0.000
Au: 0.000 0.000 0.500

Results
**Formation energy**: -0.3374 eV per atom
**Symmetry**: P4/mmm

A plane-wave DFT calculation with GGA-PBE was carried out for a relaxed structure of Th2BRh4Au2.

a b c (Å): 6.021 6.021 6.021
angles (deg): 118.14 118.14 93.25
Element x y z (fractional)
Th: 0.250 0.750 0.500
Th: 0.750 0.250 0.500
B: 0.000 0.000 0.000
Rh: 0.246 0.246 0.491
Rh: 0.246 0.754 0.000
Rh: 0.754 0.246 0.000
Rh: 0.754 0.754 0.509
Au: 0.275 0.275 0.000
Au: 0.725 0.725 0.000

Results
**Formation energy**: -0.7200 eV per atom
**Symmetry**: I4/mmm

Number 1: spin magnetization 0.00 μB per cell. Number 2: spin magnetization 0.00 μB per cell.